Sr2CoSb: optimized geometry, PBE.

a b c (Å): 4.498 4.747 11.661
angles (deg): 90.00 90.00 90.00
Space group Amm2 (No. 38)
Symmetry-distinct sites (fractional):
Sr1 0.000 0.000 0.000 [2 per cell]
Sr2 0.500 0.000 0.284 [2 per cell]
Co1 0.000 0.000 0.690 [2 per cell]
Sb1 0.500 0.000 0.584 [2 per cell]

Results
VASP energy ... -15.7 eV per formula unit
Formation energy from raw total energies ... -0.2877 eV/atom

=====

BaDyMg2: optimized geometry, PBE.

a b c (Å): 3.990 3.990 8.388
angles (deg): 90.00 90.00 90.00
Space group P4/mmm (No. 123)
Symmetry-distinct sites (fractional):
Ba1 0.000 0.000 0.000 [1 per cell]
Dy1 0.000 0.000 0.500 [1 per cell]
Mg1 0.500 0.500 0.296 [2 per cell]

Results
Calculated formation energy ... -10 kJ/mol of formula units
VASP energy ... -9.8 eV per formula unit
Polymorph energy (0 for the lowest one) ... 0 meV per atom

=====

Th3Sb4Rh3: optimized geometry, PBE.

a b c (Å): 9.841 9.841 9.841
angles (deg): 90.00 90.00 90.00
Space group I-43d (No. 220)
Symmetry-distinct sites (fractional):
Th1 0.000 0.250 0.875 [12 per cell]
Sb1 0.085 0.415 0.585 [16 per cell]
Rh1 0.000 0.250 0.375 [12 per cell]

Results
VASP energy ... -70.6 eV per formula unit
Formation energy from raw total energies ... -0.9799 eV/atom

=====

Pr5Tm2: optimized geometry, PBE.

a b c (Å): 16.194 6.389 9.447
angles (deg): 90.00 94.93 90.00
Space group C2/c (No. 15)
Symmetry-distinct sites (fractional):
Pr1 0.000 0.170 0.250 [4 per cell]
Pr2 0.139 0.171 0.963 [8 per cell]
Pr3 0.216 0.336 0.322 [8 per cell]
Tm1 0.070 0.336 0.607 [8 per cell]

Results
Calculated formation energy ... 20 kJ/mol of formula units
VASP energy ... -32.6 eV per formula unit
Polymorph energy (0 for the lowest one) ... 0 meV per atom

=====

AlPtRh2: optimized geometry, PBE.

a b c (Å): 5.580 7.360 2.807
angles (deg): 90.00 90.00 90.00
Space group Cmmm (No. 65)
Symmetry-distinct sites (fractional):
Al1 0.000 0.000 0.000 [2 per cell]
Pt1 0.000 0.500 0.000 [2 per cell]
Rh1 0.250 0.250 0.500 [4 per cell]

Results
Calculated formation energy ... -205 kJ/mol of formula units
VASP energy ... -26.6 eV per formula unit

=====

MgCuAu2: optimized geometry, PBE.

a b c (Å): 2.969 4.702 10.667
angles (deg): 90.00 90.00 90.00
Space group Immm (No. 71)
Symmetry-distinct sites (fractional):
Mg1 0.000 0.000 0.000 [2 per cell]
Cu1 0.000 0.000 0.500 [2 per cell]
Au1 0.000 0.000 0.262 [4 per cell]

Results
Calculated formation energy ... 23 kJ/mol of formula units
VASP energy ... -12.0 eV per formula unit

=====

Tm6As5P: optimized geometry, PBE.

a b c (Å): 7.010 12.135 7.005
angles (deg): 90.00 109.47 90.00
Space group C2/m (No. 12)
Symmetry-distinct sites (fractional):
Tm1 0.246 0.000 0.252 [4 per cell]
Tm2 0.247 0.164 0.747 [8 per cell]
As1 0.000 0.168 0.000 [4 per cell]
As2 0.000 0.333 0.500 [4 per cell]
As3 0.000 0.500 0.000 [2 per cell]
P1 0.000 0.000 0.500 [2 per cell]

Results
Calculated formation energy ... -1760 kJ/mol of formula units
VASP energy ... -73.7 eV per formula unit

=====

Sr4TaCr: optimized geometry, PBE.

a b c (Å): 9.756 9.756 9.756
angles (deg): 90.00 90.00 90.00
Space group F-43m (No. 216)
Symmetry-distinct sites (fractional):
Sr1 0.125 0.125 0.125 [16 per cell]
Ta1 0.250 0.250 0.750 [4 per cell]
Cr1 0.000 0.000 0.500 [4 per cell]

Results
Calculated formation energy ... 815 kJ/mol of formula units
VASP energy ... -19.8 eV per formula unit

=====

Sm3Y4In4: optimized geometry, PBE.

a b c (Å): 4.712 8.614 16.861
angles (deg): 90.00 90.00 90.00
Space group Immm (No. 71)
Symmetry-distinct sites (fractional):
Sm1 0.000 0.000 0.000 [2 per cell]
Sm2 0.000 0.500 0.117 [4 per cell]
Y1 0.000 0.299 0.331 [8 per cell]
In1 0.000 0.000 0.226 [4 per cell]
In2 0.000 0.178 0.500 [4 per cell]

Results
Calculated formation energy ... -268 kJ/mol of formula units
VASP energy ... -53.7 eV per formula unit

=====

PmTmCuIr: optimized geometry, PBE.

a b c (Å): 4.318 3.865 10.526
angles (deg): 90.00 90.00 90.00
Space group Amm2 (No. 38)
Symmetry-distinct sites (fractional):
Pm1 0.000 0.000 0.000 [2 per cell]
Tm1 0.500 0.000 0.721 [2 per cell]
Cu1 0.500 0.000 0.428 [2 per cell]
Ir1 0.000 0.000 0.278 [2 per cell]

Results
Calculated formation energy ... -212 kJ/mol of formula units
VASP energy ... -24.4 eV per formula unit
Polymorph energy (0 for the lowest one) ... 0 meV per atom

=====

PaRh4PbS8: optimized geometry, PBE.

a b c (Å): 7.4830 7.4830 17.6342
angles (deg): 90.00 90.00 120.00
Space group R3m (No. 160, hexagonal axes)
Symmetry-distinct sites (fractional):
Pa1 0.0000 0.0000 0.0000 [3 per cell]
Rh1 0.0000 0.0000 0.6427 [3 per cell]
Rh2 0.0076 0.5038 0.5178 [9 per cell]
Pb1 0.0000 0.0000 0.3953 [3 per cell]
S1 0.0000 0.0000 0.2453 [3 per cell]
S2 0.0000 0.0000 0.7771 [3 per cell]
S3 0.0019 0.5010 0.2525 [9 per cell]
S4 0.0481 0.5241 0.7811 [9 per cell]

Results
VASP energy ... -84.0 eV per formula unit
Formation energy from raw total energies ... -0.6013 eV/atom

=====

Ta3Cd: optimized geometry, PBE.

a b c (Å): 4.204 4.204 4.204
angles (deg): 90.00 90.00 90.00
Space group Pm-3m (No. 221)
Symmetry-distinct sites (fractional):
Ta1 0.000 0.000 0.500 [3 per cell]
Cd1 0.500 0.500 0.500 [1 per cell]

Results
Calculated formation energy ... 110 kJ/mol of formula units
VASP energy ... -35.3 eV per formula unit
Polymorph energy (0 for the lowest one) ... 168 meV per atom